# 1
## Sb4WSe (PBE)

Data for crystalline Sb4WSe at its relaxed geometry.

Cell lengths 6.3810, 6.3810, 4.4950 Å; angles 90.00, 90.00, 91.11 degrees
Sites, in units of the cell vectors:
Sb (0.2116, 0.7884, 0.0000)
Sb (0.3278, 0.3278, 0.5000)
Sb (0.6722, 0.6722, 0.5000)
Sb (0.7884, 0.2116, 0.0000)
W (0.5000, 0.5000, 0.0000)
Se (0.0000, 0.0000, 0.5000)

Computed properties:
Total moment (μB/f.u.): 0.0
VASP energy (eV for the cell shown): -29.7



# 2
## Pr2Tl2O5 (PBE)

Data for crystalline Pr2Tl2O5 at its relaxed geometry.

Cell lengths 4.3669, 4.3669, 7.1948 Å; angles 90.00, 90.00, 90.00 degrees
Sites, in units of the cell vectors:
Pr (0.0000, 0.0000, 0.0000)
Pr (0.0000, 0.0000, 0.5000)
Tl (0.5000, 0.5000, 0.1948)
Tl (0.5000, 0.5000, 0.8052)
O (0.0000, 0.5000, 0.2433)
O (0.0000, 0.5000, 0.7567)
O (0.5000, 0.0000, 0.2433)
O (0.5000, 0.0000, 0.7567)
O (0.5000, 0.5000, 0.5000)

Computed properties:
Total moment (μB/f.u.): 0.0
VASP energy (eV for the cell shown): -52.3



# 3
## CdGeTeO (PBE)

Data for crystalline CdGeTeO at its relaxed geometry.

Cell lengths 6.1968, 9.5321, 6.1781 Å; angles 90.00, 90.00, 90.00 degrees
Sites, in units of the cell vectors:
Cd (0.1127, 0.0866, 0.0000)
Cd (0.3873, 0.0866, 0.5000)
Cd (0.6127, 0.9134, 0.0000)
Cd (0.8873, 0.9134, 0.5000)
Ge (0.0151, 0.6935, 0.1202)
Ge (0.4849, 0.6935, 0.6202)
Ge (0.5151, 0.3065, 0.1202)
Ge (0.9849, 0.3065, 0.6202)
Te (0.0251, 0.6588, 0.6687)
Te (0.4749, 0.6588, 0.1687)
Te (0.5251, 0.3412, 0.6687)
Te (0.9749, 0.3412, 0.1687)
O (0.0427, 0.1016, 0.6381)
O (0.4573, 0.1016, 0.1381)
O (0.5427, 0.8984, 0.6381)
O (0.9573, 0.8984, 0.1381)

Computed properties:
VASP energy (eV for the cell shown): -63.3



> Among the records above, which one has the highest VASP energy?

Sb4WSe



What did the first record say?
## Sb4WSe (PBE)

Data for crystalline Sb4WSe at its relaxed geometry.

Cell lengths 6.3810, 6.3810, 4.4950 Å; angles 90.00, 90.00, 91.11 degrees
Sites, in units of the cell vectors:
Sb (0.2116, 0.7884, 0.0000)
Sb (0.3278, 0.3278, 0.5000)
Sb (0.6722, 0.6722, 0.5000)
Sb (0.7884, 0.2116, 0.0000)
W (0.5000, 0.5000, 0.0000)
Se (0.0000, 0.0000, 0.5000)

Computed properties:
Total moment (μB/f.u.): 0.0
VASP energy (eV for the cell shown): -29.7